# 1
Ag2SnAs | PBE-GGA | relaxed

- DOS at the Fermi energy: 0.29 states/eV/atom
- SG: P4/mmm
- E: -3.424 eV/atom

a = 3.568 Å, b = 3.568 Å, c = 6.541 Å
α = 90.00°, β = 90.00°, γ = 90.00°
Positions (direct):
Ag 0.000 0.000 0.227
Ag 0.000 0.000 0.773
Sn 0.500 0.500 0.500
As 0.500 0.500 0.000

***

# 2
Ag2SnAs | PBE-GGA | relaxed

- DOS at the Fermi energy: 0.25 states/eV/atom
- SG: Fm-3m
- E: -3.442 eV/atom

a = 4.906 Å, b = 4.906 Å, c = 4.906 Å
α = 60.00°, β = 60.00°, γ = 60.00°
Positions (direct):
Ag 0.250 0.250 0.250
Ag 0.750 0.750 0.750
Sn 0.000 0.000 0.000
As 0.500 0.500 0.500

***

# 3
AgSn2As | PBE-GGA | relaxed

- DOS at the Fermi energy: 0.43 states/eV/atom
- SG: R3m
- E: -3.806 eV/atom

a = 7.755 Å, b = 7.755 Å, c = 7.755 Å
α = 29.28°, β = 29.28°, γ = 29.28°
Positions (direct):
Ag 0.000 0.000 0.000
Sn 0.582 0.582 0.582
Sn 0.756 0.756 0.756
As 0.167 0.167 0.167

***

# 4
AgSn2As2 | PBE-GGA | relaxed

- DOS at the Fermi energy: 0.60 states/eV/atom
- SG: P4/mbm
- E: -3.794 eV/atom

a = 7.890 Å, b = 7.890 Å, c = 3.749 Å
α = 90.00°, β = 90.00°, γ = 90.00°
Positions (direct):
Ag 0.000 0.000 0.000
Ag 0.500 0.500 0.000
Sn 0.152 0.348 0.000
Sn 0.348 0.848 0.000
Sn 0.652 0.152 0.000
Sn 0.848 0.652 0.000
As 0.150 0.650 0.500
As 0.350 0.150 0.500
As 0.650 0.850 0.500
As 0.850 0.350 0.500

***

# 5
AgSn2As2 | PBE-GGA | relaxed

- DOS at the Fermi energy: 0.37 states/eV/atom
- SG: P4/mbm
- E: -3.877 eV/atom

a = 7.761 Å, b = 7.761 Å, c = 3.912 Å
α = 90.00°, β = 90.00°, γ = 90.00°
Positions (direct):
Ag 0.000 0.000 0.000
Ag 0.500 0.500 0.000
Sn 0.153 0.347 0.500
Sn 0.347 0.847 0.500
Sn 0.653 0.153 0.500
Sn 0.847 0.653 0.500
As 0.162 0.662 0.000
As 0.338 0.162 0.000
As 0.662 0.838 0.000
As 0.838 0.338 0.000

***

# 6
Ag3Sn12As5 | PBE-GGA | relaxed

- DOS at the Fermi energy: 0.61 states/eV/atom
- SG: Ia-3d
- E: -3.881 eV/atom

a = 14.408 Å, b = 14.408 Å, c = 14.408 Å
α = 109.47°, β = 109.47°, γ = 109.47°
Positions (direct):
Ag 0.125 0.250 0.375
Ag 0.125 0.375 0.750
Ag 0.250 0.375 0.125
Ag 0.250 0.875 0.625
Ag 0.375 0.125 0.250
Ag 0.375 0.750 0.125
Ag 0.625 0.250 0.875
Ag 0.625 0.875 0.750
Ag 0.750 0.125 0.375
Ag 0.750 0.625 0.875
Ag 0.875 0.625 0.250
Ag 0.875 0.750 0.625
Sn 0.061 0.235 0.128
Sn 0.061 0.325 0.932
Sn 0.068 0.628 0.393
Sn 0.068 0.939 0.675
Sn 0.107 0.735 0.675
Sn 0.107 0.872 0.432
Sn 0.128 0.061 0.235
Sn 0.128 0.568 0.893
Sn 0.175 0.235 0.607
Sn 0.175 0.439 0.568
Sn 0.235 0.128 0.061
Sn 0.235 0.607 0.175
Sn 0.265 0.325 0.893
Sn 0.265 0.439 0.372
Sn 0.325 0.893 0.265
Sn 0.325 0.932 0.061
Sn 0.372 0.265 0.439
Sn 0.372 0.607 0.932
Sn 0.393 0.068 0.628
Sn 0.393 0.825 0.765
Sn 0.432 0.107 0.872
Sn 0.432 0.825 0.561
Sn 0.439 0.372 0.265
Sn 0.439 0.568 0.175
Sn 0.561 0.432 0.825
Sn 0.561 0.628 0.735
Sn 0.568 0.175 0.439
Sn 0.568 0.893 0.128
Sn 0.607 0.175 0.235
Sn 0.607 0.932 0.372
Sn 0.628 0.393 0.068
Sn 0.628 0.735 0.561
Sn 0.675 0.068 0.939
Sn 0.675 0.107 0.735
Sn 0.735 0.561 0.628
Sn 0.735 0.675 0.107
Sn 0.765 0.393 0.825
Sn 0.765 0.872 0.939
Sn 0.825 0.561 0.432
Sn 0.825 0.765 0.393
Sn 0.872 0.432 0.107
Sn 0.872 0.939 0.765
Sn 0.893 0.128 0.568
Sn 0.893 0.265 0.325
Sn 0.932 0.061 0.325
Sn 0.932 0.372 0.607
Sn 0.939 0.675 0.068
Sn 0.939 0.765 0.872
As 0.000 0.000 0.000
As 0.000 0.000 0.500
As 0.000 0.500 0.000
As 0.000 0.500 0.500
As 0.125 0.750 0.875
As 0.125 0.875 0.250
As 0.250 0.125 0.875
As 0.250 0.625 0.375
As 0.375 0.250 0.625
As 0.375 0.625 0.750
As 0.500 0.000 0.000
As 0.500 0.000 0.500
As 0.500 0.500 0.000
As 0.500 0.500 0.500
As 0.625 0.375 0.250
As 0.625 0.750 0.375
As 0.750 0.375 0.625
As 0.750 0.875 0.125
As 0.875 0.125 0.750
As 0.875 0.250 0.125

***

# 7
Ag2SnAs | PBE-GGA | relaxed

- DOS at the Fermi energy: 0.44 states/eV/atom
- SG: I-42d
- E: -3.448 eV/atom

a = 10.235 Å, b = 10.235 Å, c = 10.235 Å
α = 156.28°, β = 156.28°, γ = 33.80°
Positions (direct):
Ag 0.121 0.625 0.996
Ag 0.375 0.371 0.496
Ag 0.629 0.125 0.004
Ag 0.875 0.879 0.504
Sn 0.250 0.750 0.500
Sn 0.500 0.500 0.000
As 0.000 0.000 0.000
As 0.750 0.250 0.500

***

# 8
AgSn2As | PBE-GGA | relaxed

- DOS at the Fermi energy: 0.49 states/eV/atom
- SG: P4/mmm
- E: -3.730 eV/atom

a = 4.828 Å, b = 4.828 Å, c = 3.992 Å
α = 90.00°, β = 90.00°, γ = 90.00°
Positions (direct):
Ag 0.000 0.000 0.000
Sn 0.000 0.500 0.500
Sn 0.500 0.000 0.500
As 0.500 0.500 0.000